No. 1
Material: KVGeS2
Method: DFT, PBE-GGA
State: optimized geometry

- formation energy (no corrections) (eV per atom) = -0.384

Cell: 4.7246 4.7246 4.8119 Å, 90.00 90.00 90.00°
Positions (direct):
K (0.0000, 0.0000, 0.0000)
V (0.5000, 0.5000, 0.5000)
Ge (0.5000, 0.5000, 0.0000)
S (0.0000, 0.5000, 0.5000)
S (0.5000, 0.0000, 0.5000)

No. 2
Material: K3Y3GeS8
Method: DFT, PBE-GGA
State: optimized geometry

- formation energy (no corrections) (eV per atom) = -1.502

Cell: 8.7970 8.7970 8.7970 Å, 53.30 53.30 53.30°
Positions (direct):
K (0.0000, 0.5000, 0.5000)
K (0.5000, 0.0000, 0.5000)
K (0.5000, 0.5000, 0.0000)
Y (0.0000, 0.0000, 0.5000)
Y (0.0000, 0.5000, 0.0000)
Y (0.5000, 0.0000, 0.0000)
Ge (0.5000, 0.5000, 0.5000)
S (0.2337, 0.2337, 0.2337)
S (0.2596, 0.7140, 0.7140)
S (0.2860, 0.2860, 0.7404)
S (0.2860, 0.7404, 0.2860)
S (0.7140, 0.2596, 0.7140)
S (0.7140, 0.7140, 0.2596)
S (0.7404, 0.2860, 0.2860)
S (0.7663, 0.7663, 0.7663)

No. 3
Material: K2Y2GeS6
Method: DFT, PBE-GGA
State: optimized geometry

- formation energy (no corrections) (eV per atom) = -1.364

Cell: 6.7182 6.7182 7.8912 Å, 98.45 98.45 119.49°
Positions (direct):
K (0.1711, 0.8289, 0.0000)
K (0.8289, 0.1711, 0.0000)
Y (0.3317, 0.6683, 0.5000)
Y (0.6683, 0.3317, 0.5000)
Ge (0.0000, 0.0000, 0.5000)
S (0.0666, 0.3724, 0.6913)
S (0.2320, 0.2320, 0.3155)
S (0.3724, 0.0666, 0.6913)
S (0.6276, 0.9334, 0.3087)
S (0.7680, 0.7680, 0.6845)
S (0.9334, 0.6276, 0.3087)

No. 4
Material: K2ZnGeS4
Method: DFT, PBE-GGA
State: optimized geometry

- formation energy (no corrections) (eV per atom) = -0.889

Cell: 6.5230 6.5230 6.5230 Å, 114.96 114.96 98.97°
Positions (direct):
K (0.0000, 0.0000, 0.0000)
K (0.7500, 0.2500, 0.5000)
Zn (0.5000, 0.5000, 0.0000)
Ge (0.2500, 0.7500, 0.5000)
S (0.2354, 0.1172, 0.5823)
S (0.3469, 0.7646, 0.8819)
S (0.5350, 0.6531, 0.4177)
S (0.8828, 0.4650, 0.1181)

No. 5
Material: KZrGeS2
Method: DFT, PBE-GGA
State: optimized geometry

- formation energy (no corrections) (eV per atom) = 1.396

Cell: 5.2664 5.2664 5.0939 Å, 90.00 90.00 90.00°
Positions (direct):
K (0.0000, 0.0000, 0.0000)
Zr (0.0000, 0.0000, 0.5000)
Ge (0.5000, 0.5000, 0.5000)
S (0.0000, 0.5000, 0.0000)
S (0.5000, 0.0000, 0.0000)

No. 6
Material: K3GeSb2
Method: DFT, PBE-GGA
State: optimized geometry

- formation energy (no corrections) (eV per atom) = -0.306

Cell: 13.3534 5.0865 14.0485 Å, 90.00 90.00 90.00°
Positions (direct):
K (0.0730, 0.2500, 0.1114)
K (0.1203, 0.7500, 0.5608)
K (0.1743, 0.2500, 0.8070)
K (0.3257, 0.7500, 0.3070)
K (0.3797, 0.2500, 0.0608)
K (0.4270, 0.7500, 0.6114)
K (0.5730, 0.2500, 0.3886)
K (0.6203, 0.7500, 0.9392)
K (0.6743, 0.2500, 0.6930)
K (0.8257, 0.7500, 0.1930)
K (0.8797, 0.2500, 0.4392)
K (0.9270, 0.7500, 0.8886)
Ge (0.1397, 0.2500, 0.3649)
Ge (0.3603, 0.7500, 0.8649)
Ge (0.6397, 0.2500, 0.1351)
Ge (0.8603, 0.7500, 0.6351)
Sb (0.0647, 0.7500, 0.3151)
Sb (0.2055, 0.7500, 0.9788)
Sb (0.2945, 0.2500, 0.4788)
Sb (0.4353, 0.2500, 0.8151)
Sb (0.5647, 0.7500, 0.1849)
Sb (0.7055, 0.7500, 0.5212)
Sb (0.7945, 0.2500, 0.0212)
Sb (0.9353, 0.2500, 0.6849)

No. 7
Material: K2Ge2Sb
Method: DFT, PBE-GGA
State: optimized geometry

- ΔE to the lowest computed polymorph (meV/atom) = 56
- formation energy (no corrections) (eV per atom) = -0.061

Cell: 11.6268 11.6268 11.6268 Å, 161.64 161.64 26.08°
Positions (direct):
K (0.1092, 0.1092, 0.0000)
K (0.8908, 0.8908, 0.0000)
Ge (0.2500, 0.7500, 0.5000)
Ge (0.7500, 0.2500, 0.5000)
Sb (0.5000, 0.5000, 0.0000)

No. 8
Material: KGeSb2
Method: DFT, PBE-GGA
State: optimized geometry

- formation energy (no corrections) (eV per atom) = -0.044

Cell: 7.0285 7.0285 7.0285 Å, 107.19 107.19 114.13°
Positions (direct):
K (0.0000, 0.0000, 0.0000)
K (0.7500, 0.2500, 0.5000)
Ge (0.2500, 0.7500, 0.5000)
Ge (0.5000, 0.5000, 0.0000)
Sb (0.2046, 0.6250, 0.0796)
Sb (0.3750, 0.4546, 0.5796)
Sb (0.5454, 0.1250, 0.9204)
Sb (0.8750, 0.7954, 0.4204)

What did the third record say?
Material: K2Y2GeS6
Method: DFT, PBE-GGA
State: optimized geometry

- formation energy (no corrections) (eV per atom) = -1.364

Cell: 6.7182 6.7182 7.8912 Å, 98.45 98.45 119.49°
Positions (direct):
K (0.1711, 0.8289, 0.0000)
K (0.8289, 0.1711, 0.0000)
Y (0.3317, 0.6683, 0.5000)
Y (0.6683, 0.3317, 0.5000)
Ge (0.0000, 0.0000, 0.5000)
S (0.0666, 0.3724, 0.6913)
S (0.2320, 0.2320, 0.3155)
S (0.3724, 0.0666, 0.6913)
S (0.6276, 0.9334, 0.3087)
S (0.7680, 0.7680, 0.6845)
S (0.9334, 0.6276, 0.3087)